1.
Compound: Tl2ZnCl
Source: Alexandria via LeMat-Bulk
Functional: meta-GGA SCAN
Structure: single point on PBEsol structure

The value obtained for the total energy is -41.7103 eV per atom. The value obtained for the formation energy without anion corrections is -0.158 eV/atom. Its total moment is 0.00 μB per formula unit. The calculation puts the density at 8.5 Mg/m³.

a = 5.210 Å, b = 5.210 Å, c = 5.210 Å
α = 60.00°, β = 60.00°, γ = 60.00°
Fractional coordinates of all 4 atoms:
Tl1 0.250 0.250 0.250
Tl2 0.750 0.750 0.750
Zn1 0.000 0.000 0.000
Cl1 0.500 0.500 0.500

***

2.
Compound: BaSbSe2F
Source: Alexandria via LeMat-Bulk
Functional: meta-GGA SCAN
Structure: single point on PBEsol structure

The value obtained for the total energy is -25.9567 eV per atom. The value obtained for the formation energy without anion corrections is -1.855 eV/atom. Its total moment is 0.00 μB per formula unit. The calculation puts the density at 5.5 Mg/m³.

a = 6.165 Å, b = 6.281 Å, c = 13.745 Å
α = 85.52°, β = 85.45°, γ = 89.92°
Fractional coordinates of all 20 atoms:
Ba1 0.228 0.478 0.110
Ba2 0.272 0.014 0.891
Ba3 0.728 0.986 0.109
Ba4 0.772 0.522 0.890
Sb1 0.235 0.972 0.381
Sb2 0.269 0.619 0.619
Sb3 0.731 0.381 0.381
Sb4 0.765 0.028 0.619
Se1 0.164 0.385 0.387
Se2 0.211 0.960 0.199
Se3 0.287 0.526 0.800
Se4 0.329 0.035 0.626
Se5 0.671 0.965 0.374
Se6 0.713 0.474 0.200
Se7 0.789 0.040 0.801
Se8 0.836 0.615 0.613
F1 0.000 0.250 0.998
F2 0.000 0.750 0.002
F3 0.500 0.254 0.998
F4 0.500 0.746 0.002

***

3.
Compound: Bi3BrF
Source: Alexandria via LeMat-Bulk
Functional: meta-GGA SCAN
Structure: single point on PBEsol structure

The value obtained for the total energy is -51.7567 eV per atom. The value obtained for the formation energy without anion corrections is -0.009 eV/atom. Its total moment is 0.00 μB per formula unit. The calculation puts the density at 9.2 Mg/m³.

a = 5.076 Å, b = 5.076 Å, c = 5.076 Å
α = 90.00°, β = 90.00°, γ = 90.00°
Fractional coordinates of all 5 atoms:
Bi1 0.000 0.000 0.500
Bi2 0.000 0.500 0.000
Bi3 0.500 0.000 0.000
Br1 0.500 0.500 0.500
F1 0.000 0.000 0.000

***

4.
Compound: PWO5
Source: Alexandria via LeMat-Bulk
Functional: meta-GGA SCAN
Structure: single point on PBEsol structure

The value obtained for the total energy is -18.0809 eV per atom. The value obtained for the formation energy without anion corrections is -2.189 eV/atom. Its total moment is 1.01 μB per formula unit. The calculation puts the density at 5.6 Mg/m³.

a = 10.203 Å, b = 8.927 Å, c = 7.023 Å
α = 78.54°, β = 59.04°, γ = 42.42°
Fractional coordinates of all 28 atoms:
P1 0.089 0.089 0.661
P2 0.339 0.339 0.911
P3 0.661 0.661 0.089
P4 0.911 0.911 0.339
W1 0.000 0.500 0.500
W2 0.500 0.000 0.500
W3 0.500 0.500 0.000
W4 0.500 0.500 0.500
O1 0.053 0.237 0.490
O2 0.124 0.445 0.157
O3 0.157 0.774 0.124
O4 0.226 0.843 0.555
O5 0.237 0.053 0.719
O6 0.281 0.510 0.763
O7 0.291 0.291 0.459
O8 0.445 0.124 0.774
O9 0.459 0.459 0.291
O10 0.490 0.719 0.053
O11 0.510 0.281 0.947
O12 0.541 0.541 0.709
O13 0.555 0.876 0.226
O14 0.709 0.709 0.541
O15 0.719 0.490 0.237
O16 0.763 0.947 0.281
O17 0.774 0.157 0.445
O18 0.843 0.226 0.876
O19 0.876 0.555 0.843
O20 0.947 0.763 0.510

***

5.
Compound: Al3GaIr
Source: Alexandria via LeMat-Bulk
Functional: meta-GGA SCAN
Structure: single point on PBEsol structure

The value obtained for the total energy is -22.3162 eV per atom. Its total moment is 0.00 μB per formula unit. The calculation puts the density at 5.4 Mg/m³.

a = 4.722 Å, b = 4.722 Å, c = 4.722 Å
α = 90.00°, β = 90.00°, γ = 90.00°
Fractional coordinates of all 5 atoms:
Al1 0.000 0.000 0.500
Al2 0.000 0.500 0.000
Al3 0.500 0.000 0.000
Ga1 0.500 0.500 0.500
Ir1 0.000 0.000 0.000

***

6.
Compound: La2NbPd
Source: Alexandria via LeMat-Bulk
Functional: meta-GGA SCAN
Structure: single point on PBEsol structure

The value obtained for the total energy is -37.9835 eV per atom. Its total moment is 2.97 μB per formula unit. The calculation puts the density at 8.4 Mg/m³.

a = 5.113 Å, b = 5.113 Å, c = 5.113 Å
α = 60.00°, β = 60.00°, γ = 60.00°
Fractional coordinates of all 4 atoms:
La1 0.250 0.250 0.250
La2 0.750 0.750 0.750
Nb1 0.000 0.000 0.000
Pd1 0.500 0.500 0.500